SrLiLa7Co2O16: relaxed, PBE+U.

Calculated values
V: 368 Å³/cell
Raw total energy: -7.46 eV/atom

a b c (Å): 6.8934 7.6088 7.6110
angles (deg): 90.95 105.67 105.79
Closest atoms and distances in Å follow each position.
Fractional coordinates of all 27 atoms:
Sr1 0.0000 0.0000 0.0000  8 O 2.58-2.74
Li1 0.2550 0.8203 0.3063  5 O 1.96-2.15
La1 0.0045 0.4993 0.5002  8 O 2.44-2.65
La2 0.0052 0.0138 0.5036  2 O 2.29-2.52
La3 0.0153 0.4982 0.9880  2 O 2.28-2.49
La4 0.5415 0.1528 0.1147  8 O 2.43-2.71
La5 0.5454 0.1472 0.6336  3 O 2.27-2.52
La6 0.5531 0.6517 0.6254  8 O 2.43-2.69
La7 0.5584 0.6384 0.1288  1 O 2.28
Co1 0.2798 0.8236 0.8145  5 O 1.84-2.01
Co2 0.2806 0.3251 0.3143  5 O 1.84-2.04
O1 0.2714 0.0631 0.8136  1 Co 1.84
O2 0.2706 0.8206 0.5687  1 Co 1.85, 1 Li 1.97
O3 0.2761 0.5674 0.3139  1 Co 1.85, 1 Li 1.97
O4 0.2776 0.3225 0.0721  1 Co 1.84
O5 0.2882 0.3343 0.5573  1 Co 1.84
O6 0.2911 0.0853 0.3173  1 Co 1.85, 1 Li 1.96
O7 0.2909 0.5853 0.8090  1 Co 1.84
O8 0.2927 0.8254 0.0600  1 Co 1.85, 1 Li 1.96
O9 0.5953 0.9096 0.8860  1 Co 2.01
O10 0.6008 0.4128 0.3872  1 Co 2.04
O11 0.6474 0.8959 0.4353  2 La 2.29-2.43, 1 Li 2.51
O12 0.6593 0.3959 0.9313  2 La 2.28-2.43
O13 0.8994 0.2588 0.6918  2 La 2.27-2.44
O14 0.9166 0.7377 0.2254  1 Li 2.15, 1 La 2.28
O15 0.9532 0.7298 0.7364  1 Co 2.08
O16 0.9567 0.2408 0.2452  1 Co 2.06